Crystalline LaNd8Sm5 at its relaxed geometry, computed with GGA-PBE.

Output
Total magnetization, Bohr magnetons per cell: 0.00
Calculated formation energy, eV/atom: 0.217
Calculated volume, Å³ per atom: 35.6
Total energy, eV/atom: -4.544

Lattice parameters (Å, degrees): 8.663 8.663 8.663 111.71 105.08 111.71
Positions (direct):
Sm (0.820, 0.684, 0.720)
Nd (0.072, 0.750, 0.467)
Sm (0.280, 0.099, 0.963)
Nd (0.717, 0.250, 0.322)
Sm (0.500, 0.000, 0.500)
Nd (0.565, 0.900, 0.827)
Nd (0.678, 0.395, 0.928)
Sm (0.037, 0.316, 0.136)
Nd (0.928, 0.100, 0.665)
La (0.250, 0.500, 0.750)
Nd (0.533, 0.605, 0.283)
Nd (0.335, 0.263, 0.435)
Nd (0.173, 0.737, 0.072)
Sm (0.864, 0.901, 0.180)